{
  "formula": "Ga3Ni7Ge2",
  "functional": "GGA-PBE",
  "state": "optimized geometry",
  "dos_at_fermi_per_ev_cell": 6.4,
  "energy_ev_per_atom": -5.10,
  "rho_g_cm3": 8.0,
  "magmom_total_mub_per_atom": 0.0000,
  "e_form_ev_per_atom": -0.198,
  "sg": "No. 65",
  "lattice_angstrom": [[4.1361, 0.0000, 0.0000], [0.0000, 4.1314, 0.0000], [0.0000, -2.0657, 9.2997]],
  "species": ["Ni", "Ni", "Ni", "Ni", "Ni", "Ni", "Ni", "Ge", "Ge", "Ga", "Ga", "Ga"],
  "frac_coords": [[0.5000, 0.9244, 0.8488], [0.0000, 0.5761, 0.1521], [0.0000, 0.0000, 0.0000], [0.0000, 0.4239, 0.8479], [0.0000, 0.2835, 0.5670], [0.0000, 0.7165, 0.4330], [0.5000, 0.0756, 0.1512], [0.0000, 0.8501, 0.7001], [0.0000, 0.1499, 0.2999], [0.5000, 0.3430, 0.6861], [0.5000, 0.6570, 0.3139], [0.5000, 0.5000, 0.0000]]
}